Entry from Alexandria: a PBEsol-optimized structure of SiNiW (meta-GGA SCAN). Values from VASP.

Structure (Quantum ESPRESSO input):
```
&SYSTEM
  ibrav = 0, nat = 3, ntyp = 3
/
ATOMIC_SPECIES
Si 28.09 Si.upf
Ni 58.69 Ni.upf
W 183.84 W.upf
CELL_PARAMETERS angstrom
-1.413 1.413 4.679
1.413 -1.413 4.679
1.413 1.413 -4.679
ATOMIC_POSITIONS crystal
Si 0.000 0.000 0.000
Ni 0.374 0.374 0.000
W 0.686 0.686 0.000
```

Results
E_tot, eV per atom: -32.04
Symmetry: No. 107
Total magnetization, Bohr magnetons per cell: 0.0